Entry 1:
Entry from Alexandria via LeMat-Bulk: Ti3ZnNi5 after structural relaxation (GGA-PBE).

**Density**: 6.82 g/cm³
**Uncorrected energy**: -6.04 eV per atom

abc: 6.975 6.975 7.046
angles: 119.67 119.67 90.00
Element x y z (fractional)
Ti1 0.250 0.250 0.500
Ti2 0.120 0.380 0.000
Ti3 0.380 0.880 0.000
Ti4 0.750 0.750 0.500
Ti5 0.880 0.620 0.000
Ti6 0.620 0.120 0.000
Zn1 0.750 0.250 0.500
Zn2 0.250 0.750 0.500
Ni1 0.000 0.000 0.000
Ni2 0.162 0.072 0.733
Ni3 0.072 0.572 0.733
Ni4 0.928 0.428 0.267
Ni5 0.838 0.928 0.267
Ni6 0.500 0.500 0.000
Ni7 0.662 0.162 0.733
Ni8 0.572 0.662 0.733
Ni9 0.428 0.338 0.267
Ni10 0.338 0.838 0.267

Entry 2:
Entry from Alexandria via LeMat-Bulk: BeAlPd3 after structural relaxation (GGA-PBE).

**Energy above the most stable polymorph in this dataset**: 0.905 eV per atom
**Density**: 6.49 g/cm³
**Uncorrected energy**: -4.20 eV per atom

abc: 4.497 4.497 4.497
angles: 90.00 90.00 90.00
Element x y z (fractional)
Pd1 0.500 0.000 0.000
Pd2 0.000 0.000 0.500
Pd3 0.000 0.500 0.000
Al1 0.000 0.000 0.000
Be1 0.500 0.500 0.500

Entry 3:
Entry from Alexandria via LeMat-Bulk: Mg2GaCuH after structural relaxation (GGA-PBE).

**Density**: 4.19 g/cm³
**Uncorrected energy**: -2.79 eV per atom

abc: 4.628 4.628 3.382
angles: 90.00 90.00 90.00
Element x y z (fractional)
Ga1 0.500 0.500 0.500
H1 0.000 0.000 0.000
Mg1 0.500 0.000 0.000
Mg2 0.000 0.500 0.000
Cu1 0.000 0.000 0.500